(1)
## MgCu2WSe (meta-GGA SCAN)

Data for a PBEsol-optimized structure of MgCu2WSe.

Cell lengths 4.434, 4.434, 4.829 Å; angles 90.00, 90.00, 90.00 degrees
Sites, in units of the cell vectors:
Mg1 0.000 0.000 0.000
Cu1 0.000 0.500 0.500
Cu2 0.500 0.000 0.500
W1 0.500 0.500 0.000
Se1 0.000 0.000 0.500

Computed properties:
As for the total energy: -23.72 eV per atom. The value obtained for the formation energy (no corrections) is 1.30 eV/atom. For the volume, the calculation gives 18.99 Å³/atom.

=====

(2)
## Sr2ZnCr (meta-GGA SCAN)

Data for a PBEsol-optimized structure of Sr2ZnCr.

Cell lengths 3.644, 3.644, 8.776 Å; angles 90.00, 90.00, 90.00 degrees
Sites, in units of the cell vectors:
Sr1 0.000 0.000 0.000
Sr2 0.500 0.500 0.390
Zn1 0.000 0.000 0.638
Cr1 0.500 0.500 0.742

Computed properties:
As for the total energy: -18.95 eV per atom. Its energy relative to the elements is 0.159 eV per atom. For the volume, the calculation gives 29.13 Å³/atom.

=====

(3)
## YScRe2 (meta-GGA SCAN)

Data for a PBEsol-optimized structure of YScRe2.

Cell lengths 2.999, 4.315, 5.842 Å; angles 90.00, 103.17, 90.00 degrees
Sites, in units of the cell vectors:
Y1 0.000 0.000 0.000
Sc1 0.274 0.500 0.706
Re1 0.520 0.000 0.464
Re2 0.729 0.500 0.281

Computed properties:
As for the total energy: -45.92 eV per atom. Its energy relative to the elements is 0.152 eV per atom. For the volume, the calculation gives 18.41 Å³/atom. The calculation puts the offset from the most stable computed form at 0.00 eV/f.u.

=====

(4)
## KFeRe2 (meta-GGA SCAN)

Data for a PBEsol-optimized structure of KFeRe2.

Cell lengths 2.597, 3.424, 8.374 Å; angles 90.00, 90.00, 90.00 degrees
Sites, in units of the cell vectors:
K1 0.000 0.000 0.000
Fe1 0.000 0.000 0.500
Re1 0.500 0.500 0.347
Re2 0.500 0.500 0.653

Computed properties:
As for the total energy: -41.21 eV per atom. Its energy relative to the elements is 0.952 eV per atom. For the volume, the calculation gives 18.61 Å³/atom. The calculation puts the offset from the most stable computed form at 0.66 eV/f.u.

=====

(5)
## FeHgS3 (meta-GGA SCAN)

Data for a PBEsol-optimized structure of FeHgS3.

Cell lengths 4.861, 4.861, 4.861 Å; angles 90.00, 90.00, 90.00 degrees
Sites, in units of the cell vectors:
Fe1 0.000 0.000 0.000
Hg1 0.500 0.500 0.500
S1 0.000 0.500 0.500
S2 0.500 0.000 0.500
S3 0.500 0.500 0.000

Computed properties:
As for the total energy: -21.91 eV per atom. The value obtained for the formation energy (no corrections) is 1.13 eV/atom. For the volume, the calculation gives 22.97 Å³/atom.

=====

(6)
## Re2MoRh (meta-GGA SCAN)

Data for a PBEsol-optimized structure of Re2MoRh.

Cell lengths 5.237, 5.237, 2.651 Å; angles 101.70, 101.70, 118.84 degrees
Sites, in units of the cell vectors:
Re1 0.000 0.500 0.000
Re2 0.500 0.000 0.000
Mo1 0.000 0.000 0.500
Rh1 0.500 0.500 0.500

Computed properties:
As for the total energy: -52.56 eV per atom. Its energy relative to the elements is 0.154 eV per atom. For the volume, the calculation gives 14.60 Å³/atom. The calculation puts the offset from the most stable computed form at 0.86 eV/f.u.

=====

(7)
## ReTe7 (meta-GGA SCAN)

Data for a PBEsol-optimized structure of ReTe7.

Cell lengths 6.509, 6.509, 6.509 Å; angles 60.00, 60.00, 60.00 degrees
Sites, in units of the cell vectors:
Re1 0.000 0.000 0.000
Te1 0.000 0.000 0.500
Te2 0.000 0.500 0.000
Te3 0.000 0.500 0.500
Te4 0.500 0.000 0.000
Te5 0.500 0.000 0.500
Te6 0.500 0.500 0.000
Te7 0.500 0.500 0.500

Computed properties:
As for the total energy: -40.53 eV per atom. The value obtained for the formation energy (no corrections) is 0.95 eV/atom. For the volume, the calculation gives 24.37 Å³/atom.

=====

(8)
## LaAsPS2 (meta-GGA SCAN)

Data for a PBEsol-optimized structure of LaAsPS2.

Cell lengths 4.748, 4.748, 4.687 Å; angles 90.00, 90.00, 90.00 degrees
Sites, in units of the cell vectors:
La1 0.000 0.000 0.000
As1 0.500 0.500 0.500
P1 0.500 0.500 0.000
S1 0.000 0.500 0.500
S2 0.500 0.000 0.500

Computed properties:
As for the total energy: -19.28 eV per atom. The value obtained for the formation energy (no corrections) is -0.69 eV/atom. For the volume, the calculation gives 21.13 Å³/atom.

=====

(9)
## LaOs2 (meta-GGA SCAN)

Data for a PBEsol-optimized structure of LaOs2.

Cell lengths 5.322, 5.322, 9.151 Å; angles 90.00, 90.00, 120.00 degrees
Sites, in units of the cell vectors:
La1 0.333 0.667 0.064
La2 0.333 0.667 0.436
La3 0.667 0.333 0.564
La4 0.667 0.333 0.936
Os1 0.000 0.000 0.000
Os2 0.000 0.000 0.500
Os3 0.169 0.338 0.750
Os4 0.169 0.831 0.750
Os5 0.338 0.169 0.250
Os6 0.662 0.831 0.750
Os7 0.831 0.169 0.250
Os8 0.831 0.662 0.250

Computed properties:
As for the total energy: -62.43 eV per atom. Its energy relative to the elements is -0.146 eV per atom. For the volume, the calculation gives 18.70 Å³/atom.

=====

(10)
## Ca3ZrFe (meta-GGA SCAN)

Data for a PBEsol-optimized structure of Ca3ZrFe.

Cell lengths 5.287, 5.287, 5.287 Å; angles 90.00, 90.00, 90.00 degrees
Sites, in units of the cell vectors:
Ca1 0.000 0.000 0.500
Ca2 0.000 0.500 0.000
Ca3 0.500 0.000 0.000
Zr1 0.500 0.500 0.500
Fe1 0.000 0.000 0.000

Computed properties:
As for the total energy: -14.79 eV per atom. Its energy relative to the elements is 0.774 eV per atom. For the volume, the calculation gives 29.56 Å³/atom. The calculation puts the offset from the most stable computed form at 0.00 eV/f.u.

=====

(11)
## AlZn2Ni (meta-GGA SCAN)

Data for a PBEsol-optimized structure of AlZn2Ni.

Cell lengths 5.098, 5.098, 2.652 Å; angles 104.05, 104.05, 120.19 degrees
Sites, in units of the cell vectors:
Al1 0.000 0.000 0.000
Zn1 0.000 0.500 0.500
Zn2 0.500 0.000 0.500
Ni1 0.500 0.500 0.000

Computed properties:
As for the total energy: -12.90 eV per atom. Its energy relative to the elements is -0.164 eV per atom. For the volume, the calculation gives 13.01 Å³/atom.

=====

(12)
## La3AlO6 (meta-GGA SCAN)

Data for a PBEsol-optimized structure of La3AlO6.

Cell lengths 7.464, 7.464, 5.595 Å; angles 90.00, 90.00, 102.99 degrees
Sites, in units of the cell vectors:
La1 0.106 0.894 0.500
La2 0.200 0.415 0.536
La3 0.415 0.200 0.036
La4 0.585 0.800 0.536
La5 0.800 0.585 0.036
La6 0.894 0.106 0.000
Al1 0.307 0.693 0.077
Al2 0.693 0.307 0.577
O1 0.093 0.610 0.229
O2 0.148 0.169 0.272
O3 0.169 0.148 0.772
O4 0.287 0.713 0.761
O5 0.390 0.907 0.229
O6 0.451 0.549 0.191
O7 0.549 0.451 0.691
O8 0.610 0.093 0.729
O9 0.713 0.287 0.261
O10 0.831 0.852 0.272
O11 0.852 0.831 0.772
O12 0.907 0.390 0.729

Computed properties:
As for the total energy: -21.14 eV per atom. The value obtained for the formation energy (no corrections) is -3.69 eV/atom. For the volume, the calculation gives 15.19 Å³/atom.

=====

(13)
## CuSiRu2 (meta-GGA SCAN)

Data for a PBEsol-optimized structure of CuSiRu2.

Cell lengths 2.657, 2.657, 8.333 Å; angles 90.00, 90.00, 117.30 degrees
Sites, in units of the cell vectors:
Cu1 0.000 0.000 0.000
Si1 0.500 0.500 0.235
Ru1 0.000 0.000 0.466
Ru2 0.500 0.500 0.735

Computed properties:
As for the total energy: -23.45 eV per atom. The value obtained for the formation energy (no corrections) is 0.27 eV/atom. For the volume, the calculation gives 13.07 Å³/atom.

=====

(14)
## CsSb2TeI (meta-GGA SCAN)

Data for a PBEsol-optimized structure of CsSb2TeI.

Cell lengths 5.727, 5.727, 6.515 Å; angles 90.00, 90.00, 90.00 degrees
Sites, in units of the cell vectors:
Cs1 0.000 0.000 0.000
Sb1 0.000 0.500 0.500
Sb2 0.500 0.000 0.500
Te1 0.500 0.500 0.500
I1 0.500 0.500 0.000

Computed properties:
As for the total energy: -37.24 eV per atom. The value obtained for the formation energy (no corrections) is 0.03 eV/atom. For the volume, the calculation gives 42.74 Å³/atom.